Compound: MgTiTcBi2
Source: Alexandria
Functional: SCAN
Structure: PBEsol geometry

Cell lengths 5.1580, 5.2407, 5.2407 Å; angles 90.00, 90.00, 90.00 degrees
Fractional coordinates of all 5 atoms:
Mg: 0.5000 0.0000 0.0000
Ti: 0.0000 0.0000 0.0000
Bi: 0.0000 0.0000 0.5000
Bi: 0.0000 0.5000 0.0000
Tc: 0.5000 0.5000 0.5000

Output
* size of the total moment: 4.8 μB/cell
* formation energy from the elements: 1108 meV per atom